## In2AsRu (GGA-PBE)

Data for a relaxed In2AsRu crystal.

## Properties
Space-group type: Pm, No. 6
Formation energy (eV per atom): -0.0067
Volume (Å³/atom): 20.20
E (eV/atom): -4.857
Size of the total moment (Bohr magnetons per cell): 0.00

Lattice parameters (Å, degrees): 3.889 4.128 5.438 67.72 90.00 90.00
Positions (direct):
As 0.500 0.551 0.775
In 0.000 0.979 0.918
In 0.500 0.272 0.331
Ru 0.000 0.699 0.476

***

## TaInAsRu2 (GGA-PBE)

Data for a relaxed TaInAsRu2 crystal.

## Properties
Space-group type: P4/mmm, No. 123
Formation energy (eV per atom): 1.0734
Volume (Å³/atom): 22.41
E (eV/atom): -6.485
Size of the total moment (Bohr magnetons per cell): 0.00

Lattice parameters (Å, degrees): 4.801 4.861 4.801 90.00 90.00 90.00
Positions (direct):
Ru 0.500 0.000 0.000
Ru 0.000 0.000 0.500
In 0.500 0.500 0.500
Ta 0.000 0.000 0.000
As 0.000 0.500 0.000

***

## Ti2InAsRu (GGA-PBE)

Data for a relaxed Ti2InAsRu crystal.

## Properties
Space-group type: P4/mmm, No. 123
Formation energy (eV per atom): 0.2985
Volume (Å³/atom): 22.09
E (eV/atom): -6.192
Size of the total moment (Bohr magnetons per cell): 0.00

Lattice parameters (Å, degrees): 4.667 5.070 4.667 90.00 90.00 90.00
Positions (direct):
Ru 0.000 0.000 0.000
Ti 0.000 0.000 0.500
Ti 0.500 0.000 0.000
In 0.000 0.500 0.000
As 0.500 0.500 0.500

***

## ZrInAsRu2 (GGA-PBE)

Data for a relaxed ZrInAsRu2 crystal.

## Properties
Space-group type: P4/mmm, No. 123
Formation energy (eV per atom): 1.5877
Volume (Å³/atom): 24.57
E (eV/atom): -5.310
Size of the total moment (Bohr magnetons per cell): 2.43

Lattice parameters (Å, degrees): 4.808 5.314 4.808 90.00 90.00 90.00
Positions (direct):
As 0.500 0.500 0.500
Zr 0.000 0.500 0.000
Ru 0.000 0.000 0.500
Ru 0.500 0.000 0.000
In 0.000 0.000 0.000

***

## In3AsS2 (GGA-PBE)

Data for a relaxed In3AsS2 crystal.

## Properties
Space-group type: Immm, No. 71
Volume (Å³/atom): 23.21
E (eV/atom): -3.864
Raw formation energy (eV per atom): -0.344
Size of the total moment (Bohr magnetons per cell): 0.00

Lattice parameters (Å, degrees): 5.700 3.995 7.037 106.49 113.89 90.00
Positions (direct):
In 0.335 0.458 0.669
In 0.665 0.789 0.331
In 0.000 0.124 0.000
S 0.818 0.442 0.637
S 0.182 0.805 0.363
As 0.500 0.124 0.000

***

## InAsS (GGA-PBE)

Data for a relaxed InAsS crystal.

## Properties
Space-group type: P2_1/m, No. 11
Volume (Å³/atom): 22.90
E (eV/atom): -4.145
Raw formation energy (eV per atom): -0.307
Size of the total moment (Bohr magnetons per cell): 0.00

Lattice parameters (Å, degrees): 3.922 9.149 8.260 111.97 90.00 90.00
Positions (direct):
In 0.250 0.172 0.731
In 0.750 0.828 0.269
In 0.250 0.172 0.231
In 0.750 0.828 0.769
As 0.250 0.489 0.843
As 0.750 0.511 0.657
As 0.750 0.511 0.157
As 0.250 0.489 0.343
S 0.250 0.872 0.069
S 0.250 0.872 0.569
S 0.750 0.128 0.431
S 0.750 0.128 0.931

***

## InAsS4 (GGA-PBE)

Data for a relaxed InAsS4 crystal.

## Properties
Space-group type: C2/m, No. 12
Volume (Å³/atom): 23.69
E (eV/atom): -4.044
Raw formation energy (eV per atom): -0.061
Size of the total moment (Bohr magnetons per cell): 0.00

Lattice parameters (Å, degrees): 3.558 6.312 12.677 93.01 90.00 90.00
Positions (direct):
S 0.000 0.314 0.114
S 0.500 0.865 0.114
S 0.000 0.635 0.386
S 0.000 0.686 0.886
S 0.500 0.186 0.386
S 0.500 0.814 0.614
S 0.000 0.365 0.614
S 0.500 0.135 0.886
As 0.000 0.000 0.000
As 0.500 0.500 0.500
In 0.000 0.000 0.500
In 0.500 0.500 0.000

***

## InAs2S6 (GGA-PBE)

Data for a relaxed InAs2S6 crystal.

## Properties
Space-group type: C2/c, No. 15
Volume (Å³/atom): 29.35
E (eV/atom): -4.106
Raw formation energy (eV per atom): -0.017
Size of the total moment (Bohr magnetons per cell): 0.00

Lattice parameters (Å, degrees): 7.383 9.167 9.167 85.26 67.52 67.52
Positions (direct):
As 0.297 0.218 0.374
As 0.797 0.374 0.218
As 0.203 0.626 0.782
As 0.703 0.782 0.626
S 0.427 0.045 0.172
S 0.073 0.828 0.955
S 0.319 0.405 0.897
S 0.991 0.595 0.657
S 0.819 0.897 0.405
S 0.681 0.595 0.103
S 0.491 0.657 0.595
S 0.927 0.172 0.045
S 0.509 0.343 0.405
S 0.009 0.405 0.343
S 0.181 0.103 0.595
S 0.573 0.955 0.828
In 0.250 0.187 0.813
In 0.750 0.813 0.187

***

## In2AsS (GGA-PBE)

Data for a relaxed In2AsS crystal.

## Properties
Space-group type: P-6m2, No. 187
Volume (Å³/atom): 27.54
E (eV/atom): -3.834
Excess energy over the best structure of this formula in the dataset (kJ/mol of formula units): 0.0
Raw formation energy (eV per atom): -0.270
Size of the total moment (Bohr magnetons per cell): 0.00

Lattice parameters (Å, degrees): 4.746 4.746 5.648 90.00 90.00 120.00
Positions (direct):
S 0.667 0.333 0.438
As 0.000 0.000 0.938
In 0.667 0.333 0.937
In 0.000 0.000 0.438

***

## In2AsS (GGA-PBE)

Data for a relaxed In2AsS crystal.

## Properties
Space-group type: Fm-3m, No. 225
Volume (Å³/atom): 21.94
E (eV/atom): -3.490
Excess energy over the best structure of this formula in the dataset (kJ/mol of formula units): 132.7
Raw formation energy (eV per atom): 0.074
Size of the total moment (Bohr magnetons per cell): 0.00

Lattice parameters (Å, degrees): 4.988 4.988 4.988 60.00 60.00 60.00
Positions (direct):
In 0.250 0.250 0.250
In 0.750 0.750 0.750
S 0.000 0.000 0.000
As 0.500 0.500 0.500

***

## In2AsS (GGA-PBE)

Data for a relaxed In2AsS crystal.

## Properties
Space-group type: R3m, No. 160
Volume (Å³/atom): 30.36
E (eV/atom): -3.808
Excess energy over the best structure of this formula in the dataset (kJ/mol of formula units): 9.8
Raw formation energy (eV per atom): -0.245
Size of the total moment (Bohr magnetons per cell): 0.00

Lattice parameters (Å, degrees): 4.438 4.438 7.566 72.95 72.95 60.00
Positions (direct):
In 0.498 0.498 0.506
In 0.001 0.001 0.998
As 0.628 0.628 0.117
S 0.124 0.124 0.628

***

## In2AsS (GGA-PBE)

Data for a relaxed In2AsS crystal.

## Properties
Space-group type: R-3m, No. 166
Volume (Å³/atom): 23.08
E (eV/atom): -3.825
Excess energy over the best structure of this formula in the dataset (kJ/mol of formula units): 3.4
Raw formation energy (eV per atom): -0.261
Size of the total moment (Bohr magnetons per cell): 0.00

Lattice parameters (Å, degrees): 4.050 4.050 6.907 72.95 72.95 60.00
Positions (direct):
S 0.500 0.500 0.500
As 0.000 0.000 0.000
In 0.253 0.253 0.242
In 0.747 0.747 0.758

***

## InAsS (GGA-PBE)

Data for a relaxed InAsS crystal.

## Properties
Space-group type: Pmn2_1, No. 31
Volume (Å³/atom): 25.73
E (eV/atom): -3.782
Raw formation energy (eV per atom): 0.057
Size of the total moment (Bohr magnetons per cell): 0.00

Lattice parameters (Å, degrees): 3.343 6.976 6.620 90.00 90.00 90.00
Positions (direct):
As 0.500 0.738 0.123
As 0.000 0.238 0.877
In 0.000 0.830 0.751
In 0.500 0.330 0.249
S 0.000 0.898 0.316
S 0.500 0.398 0.684

***

## In2AsS (GGA-PBE)

Data for a relaxed In2AsS crystal.

## Properties
Space-group type: R3m, No. 160
Volume (Å³/atom): 23.60
E (eV/atom): -3.733
Excess energy over the best structure of this formula in the dataset (kJ/mol of formula units): 38.9
Raw formation energy (eV per atom): -0.169
Size of the total moment (Bohr magnetons per cell): 0.00

Lattice parameters (Å, degrees): 3.933 3.933 7.402 74.59 74.59 60.00
Positions (direct):
S 0.492 0.492 0.523
In 0.083 0.083 0.751
In 0.256 0.256 0.233
As 0.669 0.669 0.992

***

## In2AsS6 (GGA-PBE)

Data for a relaxed In2AsS6 crystal.

## Properties
Space-group type: P2_1/c, No. 14
Volume (Å³/atom): 23.31
E (eV/atom): -3.997
Raw formation energy (eV per atom): -0.120
Size of the total moment (Bohr magnetons per cell): 0.00

Lattice parameters (Å, degrees): 6.745 5.326 11.699 90.00 86.84 90.00
Positions (direct):
S 0.688 0.255 0.559
S 0.889 0.905 0.299
S 0.188 0.245 0.059
S 0.611 0.405 0.201
S 0.210 0.374 0.405
S 0.389 0.595 0.799
S 0.111 0.095 0.701
S 0.790 0.626 0.595
S 0.312 0.745 0.441
S 0.710 0.126 0.905
S 0.290 0.874 0.095
S 0.812 0.755 0.941
In 0.980 0.429 0.237
In 0.520 0.929 0.263
In 0.480 0.071 0.737
In 0.020 0.571 0.763
As 0.000 0.000 0.500
As 0.500 0.500 0.000

***

## In12As5S3 (GGA-PBE)

Data for a relaxed In12As5S3 crystal.

## Properties
Space-group type: Ia-3d, No. 230
Volume (Å³/atom): 30.07
E (eV/atom): -3.409
Raw formation energy (eV per atom): 0.016
Size of the total moment (Bohr magnetons per cell): 0.00

Lattice parameters (Å, degrees): 14.619 14.619 14.619 109.47 109.47 109.47
Positions (direct):
As 0.750 0.125 0.875
As 0.625 0.750 0.875
As 0.500 0.500 0.500
As 0.500 0.500 0.000
As 0.125 0.750 0.375
As 0.250 0.375 0.625
As 0.500 0.000 0.000
As 0.000 0.000 0.000
As 0.125 0.375 0.250
As 0.500 0.000 0.500
As 0.000 0.000 0.500
As 0.375 0.125 0.750
As 0.375 0.250 0.125
As 0.875 0.250 0.625
As 0.250 0.875 0.125
As 0.625 0.875 0.250
As 0.000 0.500 0.500
As 0.000 0.500 0.000
As 0.875 0.625 0.750
As 0.750 0.625 0.375
In 0.723 0.153 0.058
In 0.595 0.653 0.430
In 0.223 0.665 0.070
In 0.653 0.058 0.223
In 0.847 0.277 0.442
In 0.070 0.905 0.347
In 0.595 0.942 0.665
In 0.777 0.442 0.347
In 0.058 0.405 0.835
In 0.942 0.347 0.277
In 0.930 0.835 0.777
In 0.442 0.777 0.847
In 0.095 0.930 0.153
In 0.058 0.653 0.723
In 0.405 0.058 0.335
In 0.905 0.070 0.847
In 0.335 0.558 0.405
In 0.653 0.595 0.930
In 0.442 0.665 0.095
In 0.153 0.430 0.095
In 0.723 0.570 0.165
In 0.153 0.723 0.558
In 0.165 0.095 0.942
In 0.277 0.430 0.835
In 0.847 0.570 0.905
In 0.570 0.723 0.665
In 0.558 0.335 0.905
In 0.777 0.335 0.930
In 0.277 0.847 0.942
In 0.665 0.223 0.570
In 0.405 0.347 0.570
In 0.835 0.930 0.277
In 0.665 0.442 0.595
In 0.942 0.595 0.165
In 0.570 0.847 0.405
In 0.347 0.942 0.777
In 0.430 0.153 0.595
In 0.430 0.277 0.335
In 0.930 0.095 0.653
In 0.558 0.223 0.153
In 0.223 0.558 0.653
In 0.835 0.905 0.058
In 0.070 0.165 0.223
In 0.905 0.835 0.558
In 0.095 0.165 0.442
In 0.335 0.777 0.430
In 0.165 0.070 0.723
In 0.347 0.405 0.070
S 0.750 0.375 0.125
S 0.125 0.250 0.875
S 0.375 0.750 0.625
S 0.125 0.875 0.750
S 0.250 0.625 0.875
S 0.250 0.125 0.375
S 0.625 0.375 0.750
S 0.875 0.125 0.250
S 0.625 0.250 0.375
S 0.750 0.875 0.625
S 0.875 0.750 0.125
S 0.375 0.625 0.250

***

## InAs2S2 (GGA-PBE)

Data for a relaxed InAs2S2 crystal.

## Properties
Space-group type: P4/mbm, No. 127
Volume (Å³/atom): 24.33
E (eV/atom): -4.033
Raw formation energy (eV per atom): 0.025
Size of the total moment (Bohr magnetons per cell): 0.00

Lattice parameters (Å, degrees): 8.508 8.508 3.361 90.00 90.00 90.00
Positions (direct):
As 0.273 0.773 0.000
As 0.773 0.727 0.000
As 0.227 0.273 0.000
As 0.727 0.227 0.000
S 0.641 0.859 0.500
S 0.859 0.359 0.500
S 0.141 0.641 0.500
S 0.359 0.141 0.500
In 0.500 0.500 0.000
In 0.000 0.000 0.000

***

## InAsS2 (GGA-PBE)

Data for a relaxed InAsS2 crystal.

## Properties
Space-group type: Pnma, No. 62
Volume (Å³/atom): 26.43
E (eV/atom): -4.065
Raw formation energy (eV per atom): -0.155
Size of the total moment (Bohr magnetons per cell): 0.00

Lattice parameters (Å, degrees): 3.655 5.871 19.713 90.00 90.00 90.00
Positions (direct):
S 0.250 0.151 0.437
S 0.750 0.684 0.371
S 0.250 0.651 0.063
S 0.750 0.349 0.937
S 0.250 0.316 0.629
S 0.250 0.816 0.871
S 0.750 0.849 0.563
S 0.750 0.184 0.129
In 0.250 0.317 0.824
In 0.750 0.183 0.324
In 0.250 0.817 0.676
In 0.750 0.683 0.176
As 0.750 0.235 0.551
As 0.250 0.765 0.449
As 0.750 0.735 0.949
As 0.250 0.265 0.051

***

## In3AsS6 (GGA-PBE)

Data for a relaxed In3AsS6 crystal.

## Properties
Space-group type: Cmc2_1, No. 36
Volume (Å³/atom): 35.10
E (eV/atom): -4.093
Raw formation energy (eV per atom): -0.330
Size of the total moment (Bohr magnetons per cell): 0.00

Lattice parameters (Å, degrees): 12.439 7.513 7.513 90.53 90.00 90.00
Positions (direct):
In 0.939 0.588 0.412
In 0.439 0.412 0.588
In 0.427 0.287 0.041
In 0.927 0.713 0.959
In 0.427 0.959 0.713
In 0.927 0.041 0.287
S 0.530 0.703 0.645
S 0.797 0.981 0.019
S 0.791 0.533 0.141
S 0.054 0.788 0.212
S 0.530 0.355 0.297
S 0.791 0.859 0.467
S 0.297 0.019 0.981
S 0.291 0.141 0.533
S 0.030 0.297 0.355
S 0.554 0.212 0.788
S 0.030 0.645 0.703
S 0.291 0.467 0.859
As 0.200 0.207 0.793
As 0.700 0.793 0.207

***

## InAsS2 (GGA-PBE)

Data for a relaxed InAsS2 crystal.

## Properties
Space-group type: Fm-3m, No. 225
Volume (Å³/atom): 18.97
E (eV/atom): -3.669
Raw formation energy (eV per atom): 0.241
Size of the total moment (Bohr magnetons per cell): 0.00

Lattice parameters (Å, degrees): 4.752 4.752 4.752 60.00 60.00 60.00
Positions (direct):
As 0.000 0.000 0.000
S 0.750 0.750 0.750
S 0.250 0.250 0.250
In 0.500 0.500 0.500